16
Lattice="6.535 0.000 0.000 0.000 6.535 0.000 0.000 0.000 6.535" Properties=species:S:1:pos:R:3 comment="Nb11W5 (PBE-GGA, optimized geometry)" magnetic_moment_mub_per_fu=0.0 formation_enthalpy_0k_ev_per_atom=-0.02 spacegroup="Pm-3m (221)" pbc="T T T"
Nb 3.268 0.000 0.000
Nb 0.000 3.268 0.000
Nb 1.642 1.642 1.642
Nb 4.893 1.642 1.642
Nb 1.642 4.893 1.642
Nb 4.893 4.893 1.642
Nb 0.000 0.000 3.268
Nb 1.642 1.642 4.893
Nb 4.893 1.642 4.893
Nb 1.642 4.893 4.893
Nb 4.893 4.893 4.893
W 0.000 0.000 0.000
W 3.268 3.268 0.000
W 3.268 0.000 3.268
W 0.000 3.268 3.268
W 3.268 3.268 3.268

5
Lattice="-2.902 -0.567 -1.286 -0.693 -1.988 2.442 -1.859 3.762 2.535" Properties=species:S:1:pos:R:3 comment="LiReO3 (PBE-GGA, optimized geometry)" total_energy_ev_per_atom=-6.81 magnetic_moment_mub_per_fu=0.0 spacegroup="P4mm (99)" pbc="T T T"
Li -2.695 0.538 1.802
O -2.003 -0.863 0.858
O -2.748 2.342 1.127
O -1.644 1.632 2.991
Re -1.693 3.427 2.309

9
Lattice="-1.662 -3.957 3.375 2.573 -1.275 -4.643 6.975 0.298 3.784" Properties=species:S:1:pos:R:3 comment="AgSn5Os3 (PBE-GGA, optimized geometry)" total_energy_ev_per_atom=-5.90 magnetic_moment_mub_per_fu=0.2 spacegroup="P6/mmm (191)" pbc="T T T"
Ag 0.000 0.000 0.000
Os 2.656 -1.829 3.579
Os 4.774 -0.489 -0.430
Os 3.943 -2.467 1.258
Sn 1.156 -3.003 1.465
Sn 2.568 -2.109 -1.208
Sn 3.487 0.149 1.892
Sn 5.319 -2.825 3.723
Sn 6.730 -1.931 1.050